(1)
Density functional theory data (GGA-PBE) for crystalline MgTaFe2 at its relaxed geometry.

Cell: 3.0091 3.0091 6.7512 Å, 90.00 90.00 90.00°
Closest atoms and distances in Å follow each position.
Fractional coordinates of all 4 atoms:
Mg (0.0000, 0.0000, 0.0000)  5 Fe 2.76-3.00, 4 Mg 3.01, 4 Ta 3.07
Ta (0.5000, 0.5000, 0.3275)  5 Fe 2.62-2.79
Fe (0.0000, 0.0000, 0.5550)  4 Fe 2.47, 4 Ta 2.62
Fe (0.5000, 0.5000, 0.7407)  4 Fe 2.47, 4 Mg 2.76

Computed properties:
- Space-group type: P4mm, No. 99
- Formation energy: 17 kJ per mole of atoms
- DOS at the Fermi energy: 3.9 states/eV per cell



(2)
Density functional theory data (GGA-PBE) for crystalline MgTa2Fe at its relaxed geometry.

Cell: 2.8247 4.3289 5.6009 Å, 90.00 103.54 90.00°
Closest atoms and distances in Å follow each position.
Fractional coordinates of all 4 atoms:
Mg (0.0000, 0.0000, 0.0000)  2 Fe 2.69, 2 Mg 2.82, 5 Ta 2.83-3.00
Ta (0.3482, 0.0000, 0.5325)  2 Fe 2.58, 4 Ta 2.82-2.89, 1 Mg 2.83
Ta (0.6743, 0.5000, 0.2702)  2 Fe 2.69-2.96, 4 Ta 2.82-2.89, 2 Mg 2.91
Fe (0.1634, 0.5000, 0.7445)  3 Ta 2.58-2.69, 2 Mg 2.69, 2 Fe 2.82

Computed properties:
- Space-group type: Pm, No. 6
- Formation energy: 25 kJ per mole of atoms
- DOS at the Fermi energy: 4.0 states/eV per cell



What did the second record say?
Density functional theory data (GGA-PBE) for crystalline MgTa2Fe at its relaxed geometry.

Cell: 2.8247 4.3289 5.6009 Å, 90.00 103.54 90.00°
Closest atoms and distances in Å follow each position.
Fractional coordinates of all 4 atoms:
Mg (0.0000, 0.0000, 0.0000)  2 Fe 2.69, 2 Mg 2.82, 5 Ta 2.83-3.00
Ta (0.3482, 0.0000, 0.5325)  2 Fe 2.58, 4 Ta 2.82-2.89, 1 Mg 2.83
Ta (0.6743, 0.5000, 0.2702)  2 Fe 2.69-2.96, 4 Ta 2.82-2.89, 2 Mg 2.91
Fe (0.1634, 0.5000, 0.7445)  3 Ta 2.58-2.69, 2 Mg 2.69, 2 Fe 2.82

Computed properties:
- Space-group type: Pm, No. 6
- Formation energy: 25 kJ per mole of atoms
- DOS at the Fermi energy: 4.0 states/eV per cell



Repeat the second record exactly.
Density functional theory data (GGA-PBE) for crystalline MgTa2Fe at its relaxed geometry.

Cell: 2.8247 4.3289 5.6009 Å, 90.00 103.54 90.00°
Closest atoms and distances in Å follow each position.
Fractional coordinates of all 4 atoms:
Mg (0.0000, 0.0000, 0.0000)  2 Fe 2.69, 2 Mg 2.82, 5 Ta 2.83-3.00
Ta (0.3482, 0.0000, 0.5325)  2 Fe 2.58, 4 Ta 2.82-2.89, 1 Mg 2.83
Ta (0.6743, 0.5000, 0.2702)  2 Fe 2.69-2.96, 4 Ta 2.82-2.89, 2 Mg 2.91
Fe (0.1634, 0.5000, 0.7445)  3 Ta 2.58-2.69, 2 Mg 2.69, 2 Fe 2.82

Computed properties:
- Space-group type: Pm, No. 6
- Formation energy: 25 kJ per mole of atoms
- DOS at the Fermi energy: 4.0 states/eV per cell



> What is the formula in the second record?

MgTa2Fe



> The lowest DOS at the Fermi energy belongs to which entry?

MgTaFe2